DFT (PBE-GGA) results for an optimized crystal structure of Co2SiRu.

Total magnetization = 0.000 μB/f.u.
E_tot = -7.36 eV/atom
V = 11.63 Å³/atom
Theoretical density = 8.821 g cm⁻³
Fermi-level density of states = 5.0 states/eV/f.u.

```
Co2SiRu
1.0
2.527 -3.519 0.000
2.527 3.519 0.000
0.000 0.000 2.615
Co Si Ru
2 1 1
Direct
0.000 0.500 0.000
0.500 0.000 0.000
0.000 0.000 0.500
0.500 0.500 0.500
```



DFT (PBE-GGA) results for an optimized crystal structure of Co2SiRu.

Total magnetization = 2.813 μB/f.u.
E_tot = -7.40 eV/atom
V = 11.89 Å³/atom
Theoretical density = 8.628 g cm⁻³
Fermi-level density of states = 4.1 states/eV/f.u.

```
Co2SiRu
1.0
-1.421 2.062 4.056
1.421 -2.062 4.056
1.421 2.062 -4.056
Co Si Ru
2 1 1
Direct
0.000 0.000 0.000
0.732 0.232 0.500
0.220 0.720 0.500
0.460 0.460 0.000
```



DFT (PBE-GGA) results for an optimized crystal structure of Co2SiRu.

Total magnetization = 3.627 μB/f.u.
E_tot = -7.00 eV/atom
V = 13.08 Å³/atom
Theoretical density = 7.842 g cm⁻³
Fermi-level density of states = 5.4 states/eV/f.u.

```
Co2SiRu
1.0
-1.736 1.736 8.675
1.736 -1.736 8.675
1.736 1.736 -8.675
Co Si Ru
4 2 2
Direct
0.094 0.625 0.969
0.375 0.344 0.469
0.656 0.125 0.031
0.875 0.906 0.531
0.000 0.000 0.000
0.750 0.250 0.500
0.250 0.750 0.500
0.500 0.500 0.000
```



DFT (PBE-GGA) results for an optimized crystal structure of SmCoSi2Ru.

Total magnetization = 0.000 μB/f.u.
E_tot = -7.23 eV/atom
V = 16.21 Å³/atom
Theoretical density = 7.512 g cm⁻³
Fermi-level density of states = 2.3 states/eV/f.u.

```
SmCoSi2Ru
1.0
-2.027 2.027 4.932
2.027 -2.027 4.932
2.027 2.027 -4.932
Sm Co Si Ru
1 1 2 1
Direct
0.000 0.000 0.000
0.750 0.250 0.500
0.369 0.369 0.000
0.631 0.631 0.000
0.250 0.750 0.500
```



DFT (PBE-GGA) results for an optimized crystal structure of TaCoSiRu.

Total magnetization = 1.998 μB/f.u.
E_tot = -8.82 eV/atom
V = 13.79 Å³/atom
Theoretical density = 11.109 g cm⁻³
Fermi-level density of states = 0.5 states/eV/f.u.

```
TaCoSiRu
1.0
0.000 3.021 3.021
3.021 0.000 3.021
3.021 3.021 0.000
Ta Co Si Ru
1 1 1 1
Direct
0.000 0.000 0.000
0.750 0.750 0.750
0.500 0.500 0.500
0.250 0.250 0.250
```



DFT (PBE-GGA) results for an optimized crystal structure of TbCoSi3Ru.

Total magnetization = 0.000 μB/f.u.
E_tot = -6.62 eV/atom
V = 17.79 Å³/atom
Theoretical density = 6.272 g cm⁻³
Fermi-level density of states = 3.8 states/eV/f.u.

```
TbCoSi3Ru
1.0
3.606 -5.472 0.000
3.606 5.472 0.000
0.000 0.000 5.411
Tb Co Si Ru
2 2 6 2
Direct
0.241 0.759 0.750
0.759 0.241 0.250
0.045 0.955 0.250
0.955 0.045 0.750
0.235 0.765 0.250
0.243 0.243 0.000
0.243 0.243 0.500
0.757 0.757 0.000
0.757 0.757 0.500
0.765 0.235 0.750
0.435 0.565 0.250
0.565 0.435 0.750
```



DFT (PBE-GGA) results for an optimized crystal structure of TbCoSi2Ru.

Total magnetization = 0.000 μB/f.u.
E_tot = -7.24 eV/atom
V = 15.83 Å³/atom
Theoretical density = 7.868 g cm⁻³
Fermi-level density of states = 2.1 states/eV/f.u.

```
TbCoSi2Ru
1.0
-2.014 2.014 4.881
2.014 -2.014 4.881
2.014 2.014 -4.881
Tb Co Si Ru
1 1 2 1
Direct
0.000 0.000 0.000
0.750 0.250 0.500
0.371 0.371 0.000
0.629 0.629 0.000
0.250 0.750 0.500
```



DFT (PBE-GGA) results for an optimized crystal structure of ThCoSi2Ru.

Total magnetization = 0.000 μB/f.u.
E_tot = -7.79 eV/atom
V = 16.57 Å³/atom
Theoretical density = 8.982 g cm⁻³
Fermi-level density of states = 2.2 states/eV/f.u.

```
ThCoSi2Ru
1.0
-2.041 2.041 4.971
2.041 -2.041 4.971
2.041 2.041 -4.971
Th Co Si Ru
1 1 2 1
Direct
0.000 0.000 0.000
0.750 0.250 0.500
0.370 0.370 0.000
0.630 0.630 0.000
0.250 0.750 0.500
```



DFT (PBE-GGA) results for an optimized crystal structure of Th2Co12Si3Ru.

Total magnetization = 11.494 μB/f.u.
E_tot = -6.88 eV/atom
V = 14.57 Å³/atom
Theoretical density = 8.591 g cm⁻³
Fermi-level density of states = 21.5 states/eV/f.u.

```
Th2Co12Si3Ru
1.0
2.986 1.724 8.492
-2.986 1.724 8.492
0.000 -3.447 8.492
Th Co Si Ru
2 12 3 1
Direct
0.150 0.150 0.150
0.850 0.850 0.850
0.088 0.088 0.685
0.088 0.685 0.088
0.138 0.569 0.569
0.315 0.912 0.912
0.431 0.431 0.862
0.431 0.862 0.431
0.569 0.138 0.569
0.569 0.569 0.138
0.685 0.088 0.088
0.862 0.431 0.431
0.912 0.315 0.912
0.912 0.912 0.315
0.000 0.500 0.500
0.500 0.000 0.500
0.500 0.500 0.000
0.500 0.500 0.500
```



DFT (PBE-GGA) results for an optimized crystal structure of TmCoSi3Ru.

Total magnetization = 0.000 μB/f.u.
E_tot = -6.55 eV/atom
V = 17.76 Å³/atom
Theoretical density = 6.441 g cm⁻³
Fermi-level density of states = 3.4 states/eV/f.u.

```
TmCoSi3Ru
1.0
3.615 -5.553 0.000
3.615 5.553 0.000
0.000 0.000 5.307
Tm Co Si Ru
2 2 6 2
Direct
0.224 0.776 0.750
0.776 0.224 0.250
0.043 0.957 0.250
0.957 0.043 0.750
0.231 0.769 0.250
0.246 0.246 0.000
0.246 0.246 0.500
0.754 0.754 0.000
0.754 0.754 0.500
0.769 0.231 0.750
0.428 0.572 0.250
0.572 0.428 0.750
```



DFT (PBE-GGA) results for an optimized crystal structure of TmCoSi2Ru.

Total magnetization = 0.000 μB/f.u.
E_tot = -7.20 eV/atom
V = 15.48 Å³/atom
Theoretical density = 8.262 g cm⁻³
Fermi-level density of states = 2.0 states/eV/f.u.

```
TmCoSi2Ru
1.0
-2.001 2.001 4.834
2.001 -2.001 4.834
2.001 2.001 -4.834
Tm Co Si Ru
1 1 2 1
Direct
0.000 0.000 0.000
0.250 0.750 0.500
0.373 0.373 0.000
0.627 0.627 0.000
0.750 0.250 0.500
```



DFT (PBE-GGA) results for an optimized crystal structure of UCoSi2Ru.

Total magnetization = 1.789 μB/f.u.
E_tot = -8.31 eV/atom
V = 15.52 Å³/atom
Theoretical density = 9.722 g cm⁻³
Fermi-level density of states = 6.2 states/eV/f.u.

```
UCoSi2Ru
1.0
-1.996 1.996 4.866
1.996 -1.996 4.866
1.996 1.996 -4.866
U Co Si Ru
1 1 2 1
Direct
0.000 0.000 0.000
0.250 0.750 0.500
0.377 0.377 0.000
0.623 0.623 0.000
0.750 0.250 0.500
```



DFT (PBE-GGA) results for an optimized crystal structure of CoSiRuW.

Total magnetization = 1.803 μB/f.u.
E_tot = -8.73 eV/atom
V = 13.37 Å³/atom
Theoretical density = 11.548 g cm⁻³
Fermi-level density of states = 4.3 states/eV/f.u.

```
CoSiRuW
1.0
0.000 2.990 2.990
2.990 0.000 2.990
2.990 2.990 0.000
Co Si Ru W
1 1 1 1
Direct
0.000 0.000 0.000
0.750 0.750 0.750
0.500 0.500 0.500
0.250 0.250 0.250
```



DFT (PBE-GGA) results for an optimized crystal structure of YCoSi2Ru.

Total magnetization = 0.000 μB/f.u.
E_tot = -7.61 eV/atom
V = 15.79 Å³/atom
Theoretical density = 6.416 g cm⁻³
Fermi-level density of states = 2.1 states/eV/f.u.

```
YCoSi2Ru
1.0
-2.012 2.012 4.877
2.012 -2.012 4.877
2.012 2.012 -4.877
Y Co Si Ru
1 1 2 1
Direct
0.000 0.000 0.000
0.750 0.250 0.500
0.371 0.371 0.000
0.629 0.629 0.000
0.250 0.750 0.500
```